Entry 1:
GaHg2Cl: optimized geometry, GGA-PBE.

a = 4.099 Å, b = 4.456 Å, c = 12.640 Å
α = 90.00°, β = 95.44°, γ = 90.00°
Space group P2_1/m (No. 11)
Inequivalent atoms, fractional coordinates:
1 Ga 0.209 0.250 0.377 (multiplicity 2)
2 Hg 0.118 0.750 0.092 (multiplicity 2)
3 Hg 0.362 0.750 0.831 (multiplicity 2)
4 Cl 0.275 0.250 0.589 (multiplicity 2)

Results
Total moment: 0.00 μB/cell
Calculated volume: 230 Å³/cell
ΔE_f (raw): -331 meV/atom

Entry 2:
Pr12Dy3Tm: optimized geometry, GGA-PBE.

a = 5.188 Å, b = 5.188 Å, c = 20.690 Å
α = 90.00°, β = 90.00°, γ = 90.00°
Space group P4/mmm (No. 123)
Inequivalent atoms, fractional coordinates:
1 Pr 0.000 0.000 0.000 (multiplicity 1)
2 Pr 0.000 0.000 0.249 (multiplicity 2)
3 Pr 0.000 0.000 0.500 (multiplicity 1)
4 Pr 0.000 0.500 0.124 (multiplicity 4)
5 Pr 0.000 0.500 0.375 (multiplicity 4)
6 Dy 0.500 0.500 0.249 (multiplicity 2)
7 Dy 0.500 0.500 0.500 (multiplicity 1)
8 Tm 0.500 0.500 0.000 (multiplicity 1)

Results
Total moment: 0.00 μB/cell
Formation energy from the elements: 0.0124 eV/atom
Calculated volume: 557 Å³/cell

Entry 3:
La2PmAg4: optimized geometry, GGA-PBE.

a = 5.630 Å, b = 5.630 Å, c = 12.472 Å
α = 90.00°, β = 90.00°, γ = 90.00°
Space group I4/mmm (No. 139)
Inequivalent atoms, fractional coordinates:
1 La 0.000 0.000 0.215 (multiplicity 4)
2 Pm 0.000 0.000 0.500 (multiplicity 2)
3 Ag 0.000 0.500 0.118 (multiplicity 8)

Results
Total moment: 0.00 μB/cell
Formation energy from the elements: -0.1050 eV/atom
Calculated volume: 395 Å³/cell

Entry 4:
HPtPb: optimized geometry, GGA-PBE.

a = 5.460 Å, b = 3.558 Å, c = 6.439 Å
α = 90.00°, β = 114.99°, γ = 90.00°
Space group P2/m (No. 10)
Inequivalent atoms, fractional coordinates:
1 H 0.093 0.000 0.188 (multiplicity 2)
2 Pt 0.253 0.000 0.001 (multiplicity 2)
3 Pb 0.340 0.500 0.681 (multiplicity 2)

Results
Total moment: 0.00 μB/cell
Calculated volume: 113 Å³/cell
Energy: -4.439 eV per atom

Entry 5:
KLi2Tc: optimized geometry, GGA-PBE.

a = 5.348 Å, b = 5.348 Å, c = 2.675 Å
α = 90.00°, β = 90.00°, γ = 90.00°
Space group P4/mmm (No. 123)
Inequivalent atoms, fractional coordinates:
1 K 0.000 0.000 0.000 (multiplicity 1)
2 Li 0.000 0.500 0.500 (multiplicity 2)
3 Tc 0.500 0.500 0.000 (multiplicity 1)

Results
Total moment: 1.07 μB/cell
Formation energy from the elements: 0.7753 eV/atom
Calculated volume: 77 Å³/cell

Entry 6:
Y3Er2Ru2: optimized geometry, GGA-PBE.

a = 11.936 Å, b = 3.880 Å, c = 8.422 Å
α = 90.00°, β = 113.08°, γ = 90.00°
Space group C2/m (No. 12)
Inequivalent atoms, fractional coordinates:
1 Y 0.000 0.000 0.000 (multiplicity 2)
2 Y 0.121 0.000 0.430 (multiplicity 4)
3 Er 0.167 0.500 0.815 (multiplicity 4)
4 Ru 0.181 0.500 0.218 (multiplicity 4)

Results
Total moment: 0.00 μB/cell
Formation energy from the elements: -0.3243 eV/atom
Calculated volume: 359 Å³/cell

Entry 7:
LaSm2Sc: optimized geometry, GGA-PBE.

a = 3.596 Å, b = 3.596 Å, c = 9.957 Å
α = 90.00°, β = 90.00°, γ = 90.00°
Space group P4/mmm (No. 123)
Inequivalent atoms, fractional coordinates:
1 La 0.000 0.000 0.000 (multiplicity 1)
2 Sm 0.500 0.500 0.269 (multiplicity 2)
3 Sc 0.000 0.000 0.500 (multiplicity 1)

Results
Total moment: 0.00 μB/cell
Formation energy from the elements: 0.0556 eV/atom
Calculated volume: 129 Å³/cell

Entry 8:
Pr6Pt2Se3Cl: optimized geometry, GGA-PBE.

a = 18.899 Å, b = 4.152 Å, c = 8.747 Å
α = 90.00°, β = 105.00°, γ = 90.00°
Space group C2/m (No. 12)
Inequivalent atoms, fractional coordinates:
1 Pr 0.004 0.000 0.263 (multiplicity 4)
2 Pr 0.170 0.500 0.572 (multiplicity 4)
3 Pr 0.171 0.500 0.099 (multiplicity 4)
4 Pt 0.164 0.000 0.329 (multiplicity 4)
5 Se 0.000 0.500 0.500 (multiplicity 2)
6 Se 0.162 0.000 0.834 (multiplicity 4)
7 Cl 0.000 0.500 0.000 (multiplicity 2)

Results
Total moment: 0.00 μB/cell
Calculated volume: 663 Å³/cell
ΔE_f (raw): -1513 meV/atom

Entry 9:
MgScCd2: optimized geometry, GGA-PBE.

a = 3.2587 Å, b = 3.2587 Å, c = 29.6992 Å
α = 90.00°, β = 90.00°, γ = 120.00°
Space group R3m (No. 160, hexagonal axes)
Inequivalent atoms, fractional coordinates:
1 Mg 0.0000 0.0000 0.0000 (multiplicity 3)
2 Sc 0.0000 0.0000 0.1669 (multiplicity 3)
3 Cd 0.0000 0.0000 0.4164 (multiplicity 3)
4 Cd 0.0000 0.0000 0.5835 (multiplicity 3)

Results
Total moment: 0.00 μB/cell
Formation energy from the elements: -0.0873 eV/atom
Calculated volume: 273 Å³/cell

Entry 10:
CeMgOs2: optimized geometry, GGA-PBE.

a = 4.545 Å, b = 4.545 Å, c = 3.459 Å
α = 90.00°, β = 90.00°, γ = 90.00°
Space group P4/mmm (No. 123)
Inequivalent atoms, fractional coordinates:
1 Ce 0.000 0.000 0.000 (multiplicity 1)
2 Mg 0.500 0.500 0.000 (multiplicity 1)
3 Os 0.000 0.500 0.500 (multiplicity 2)

Results
Total moment: 0.00 μB/cell
Formation energy from the elements: 0.1056 eV/atom
Calculated volume: 71 Å³/cell

Entry 11:
HoErSO2: optimized geometry, GGA-PBE.

a = 3.753 Å, b = 3.753 Å, c = 11.853 Å
α = 90.00°, β = 90.00°, γ = 90.00°
Space group I4mm (No. 107)
Inequivalent atoms, fractional coordinates:
1 Ho 0.000 0.000 0.000 (multiplicity 2)
2 Er 0.000 0.000 0.693 (multiplicity 2)
3 S 0.000 0.000 0.347 (multiplicity 2)
4 O 0.000 0.500 0.097 (multiplicity 4)

Results
Total moment: 0.00 μB/cell
Calculated volume: 167 Å³/cell
ΔE_f (raw): -3085 meV/atom

Entry 12:
K2Tl2CoCl6: optimized geometry, GGA-PBE.

a = 7.775 Å, b = 12.571 Å, c = 7.488 Å
α = 90.00°, β = 108.94°, γ = 90.00°
Space group C2/m (No. 12)
Inequivalent atoms, fractional coordinates:
1 K 0.000 0.159 0.000 (multiplicity 4)
2 Tl 0.000 0.322 0.500 (multiplicity 4)
3 Co 0.000 0.500 0.000 (multiplicity 2)
4 Cl 0.190 0.500 0.784 (multiplicity 4)
5 Cl 0.201 0.361 0.200 (multiplicity 8)

Results
Total moment: 6.00 μB/cell
Calculated volume: 692 Å³/cell
ΔE_f (raw): -1191 meV/atom

Entry 13:
IrOs2Au: optimized geometry, GGA-PBE.

a = 6.284 Å, b = 6.284 Å, c = 6.284 Å
α = 90.00°, β = 90.00°, γ = 90.00°
Space group Fm-3m (No. 225)
Inequivalent atoms, fractional coordinates:
1 Ir 0.000 0.000 0.000 (multiplicity 4)
2 Os 0.250 0.250 0.250 (multiplicity 8)
3 Au 0.000 0.000 0.500 (multiplicity 4)

Results
Total moment: 4.97 μB/cell
Formation energy from the elements: 0.9067 eV/atom
Calculated volume: 248 Å³/cell

Entry 14:
Sm6Y4Zr: optimized geometry, GGA-PBE.

a = 8.782 Å, b = 8.782 Å, c = 9.174 Å
α = 90.00°, β = 90.00°, γ = 90.00°
Space group P4/mnc (No. 128)
Inequivalent atoms, fractional coordinates:
1 Sm 0.000 0.000 0.175 (multiplicity 4)
2 Sm 0.147 0.346 0.500 (multiplicity 8)
3 Y 0.148 0.648 0.250 (multiplicity 8)
4 Zr 0.000 0.000 0.500 (multiplicity 2)

Results
Total moment: 2.62 μB/cell
Formation energy from the elements: 0.1569 eV/atom
Calculated volume: 708 Å³/cell

Entry 15:
NdPCl: optimized geometry, GGA-PBE.

a = 7.951 Å, b = 5.040 Å, c = 7.970 Å
α = 90.00°, β = 99.65°, γ = 90.00°
Space group C2/m (No. 12)
Inequivalent atoms, fractional coordinates:
1 Nd 0.205 0.000 0.276 (multiplicity 4)
2 P 0.077 0.500 0.396 (multiplicity 4)
3 Cl 0.163 0.000 0.885 (multiplicity 4)

Results
Total moment: 0.00 μB/cell
Calculated volume: 315 Å³/cell
ΔE_f (raw): -1555 meV/atom

Entry 16:
PrSm4Er2: optimized geometry, GGA-PBE.

a = 6.196 Å, b = 6.623 Å, c = 11.666 Å
α = 90.00°, β = 104.36°, γ = 90.00°
Space group P2_1/m (No. 11)
Inequivalent atoms, fractional coordinates:
1 Pr 0.025 0.250 0.354 (multiplicity 2)
2 Sm 0.153 0.250 0.655 (multiplicity 2)
3 Sm 0.293 0.750 0.935 (multiplicity 2)
4 Sm 0.357 0.505 0.212 (multiplicity 4)
5 Er 0.145 0.250 0.943 (multiplicity 2)
6 Er 0.398 0.750 0.501 (multiplicity 2)

Results
Total moment: 0.00 μB/cell
Formation energy from the elements: 0.1224 eV/atom
Calculated volume: 464 Å³/cell

Entry 17:
Er5Bi2C2: optimized geometry, GGA-PBE.

a = 13.194 Å, b = 4.996 Å, c = 7.281 Å
α = 90.00°, β = 105.93°, γ = 90.00°
Space group C2/m (No. 12)
Inequivalent atoms, fractional coordinates:
1 Er 0.000 0.000 0.000 (multiplicity 2)
2 Er 0.156 0.000 0.587 (multiplicity 4)
3 Er 0.167 0.500 0.926 (multiplicity 4)
4 Bi 0.091 0.500 0.314 (multiplicity 4)
5 C 0.157 0.000 0.892 (multiplicity 4)

Results
Total moment: 0.00 μB/cell
Formation energy from the elements: -0.3944 eV/atom
Calculated volume: 461 Å³/cell

Entry 18:
TaCu2Cl: optimized geometry, GGA-PBE.

a = 7.196 Å, b = 7.196 Å, c = 4.876 Å
α = 90.00°, β = 90.00°, γ = 90.00°
Space group I-42d (No. 122)
Inequivalent atoms, fractional coordinates:
1 Ta 0.000 0.000 0.000 (multiplicity 4)
2 Cu 0.238 0.750 0.625 (multiplicity 8)
3 Cl 0.000 0.000 0.500 (multiplicity 4)

Results
Total moment: 0.00 μB/cell
Calculated volume: 253 Å³/cell
ΔE_f (raw): 517 meV/atom

Entry 19:
BaH6O2: optimized geometry, GGA-PBE.

a = 4.812 Å, b = 5.067 Å, c = 7.347 Å
α = 90.00°, β = 90.00°, γ = 90.00°
Space group Immm (No. 71)
Inequivalent atoms, fractional coordinates:
1 Ba 0.000 0.000 0.000 (multiplicity 2)
2 H 0.156 0.500 0.154 (multiplicity 8)
3 H 0.227 0.000 0.500 (multiplicity 4)
4 O 0.000 0.500 0.259 (multiplicity 4)

Results
Total moment: 0.00 μB/cell
Calculated volume: 179 Å³/cell
Energy: -4.281 eV per atom

Entry 20:
SrY2Cd2: optimized geometry, GGA-PBE.

a = 3.924 Å, b = 21.358 Å, c = 3.734 Å
α = 90.00°, β = 90.00°, γ = 90.00°
Space group Cmmm (No. 65)
Inequivalent atoms, fractional coordinates:
1 Sr 0.000 0.000 0.000 (multiplicity 2)
2 Y 0.000 0.181 0.000 (multiplicity 4)
3 Cd 0.000 0.396 0.500 (multiplicity 4)

Results
Total moment: 1.54 μB/cell
Formation energy from the elements: -0.1316 eV/atom
Calculated volume: 313 Å³/cell